Material: CsSrZrV2
Method: DFT, GGA-PBE
State: relaxed

Summary:
The calculation puts the total DFT energy (no corrections) at -4.423 eV per atom. The calculation puts the volume at 32.227 A^3/atom.

a = 5.1178 Å, b = 5.1178 Å, c = 6.1521 Å
α = 90.00°, β = 90.00°, γ = 90.00°
Last column: nearest neighbours and their distance in Å.
Space group P4/mmm (No. 123)
Asymmetric unit:
Cs  0.0000  0.0000  0.0000  2 Zr 3.08
Sr  0.5000  0.5000  0.0000  4 Cs 3.62, 8 V 4.00
Zr  0.0000  0.0000  0.5000  4 V 2.56
V  0.0000  0.5000  0.5000  2 Zr 2.56